## BaBe2Si (PBE)

Data for BaBe2Si after structural relaxation.

The structure in CIF format:
```
data_BaBe2Si
_chemical_formula_sum 'Ba2 Be4 Si2'
_space_group_name_H-M_alt 'C 1 2/m 1'
_space_group_IT_number 12
_space_group_name_Hall '-C 2y'
_cell_length_a 6.7436
_cell_length_b 3.9076
_cell_length_c 6.2516
_cell_angle_alpha 90.00
_cell_angle_beta 111.39
_cell_angle_gamma 90.00
loop_
_atom_site_label
_atom_site_type_symbol
_atom_site_fract_x
_atom_site_fract_y
_atom_site_fract_z
Ba1 Ba 0.0000 0.0000 0.0000
Be1 Be 0.1889 0.0000 0.5678
Si1 Si 0.0000 0.5000 0.5000
```

Computed properties:
ΔE_f (raw) in eV/atom: 0.0675

=====

## CsCd2Hg (PBE)

Data for CsCd2Hg after structural relaxation.

The structure in CIF format:
```
data_CsCd2Hg
_chemical_formula_sum 'Cs3 Cd6 Hg3'
_space_group_name_H-M_alt 'R -3 m'
_space_group_IT_number 166
_space_group_name_Hall '-R 3 2"'
_cell_length_a 5.1185
_cell_length_b 5.1185
_cell_length_c 20.3510
_cell_angle_alpha 90.00
_cell_angle_beta 90.00
_cell_angle_gamma 120.00
loop_
_atom_site_label
_atom_site_type_symbol
_atom_site_fract_x
_atom_site_fract_y
_atom_site_fract_z
Cs1 Cs 0.0000 0.0000 0.0000
Cd1 Cd 0.0000 0.0000 0.1925
Hg1 Hg 0.0000 0.0000 0.5000
```

Computed properties:
E in eV per atom: -0.845

=====

## Zn2SiIr (PBE)

Data for Zn2SiIr after structural relaxation.

The structure in CIF format:
```
data_Zn2SiIr
_chemical_formula_sum 'Zn4 Si2 Ir2'
_space_group_name_H-M_alt 'C 1 m 1'
_space_group_IT_number 8
_space_group_name_Hall 'C -2y'
_cell_length_a 8.5364
_cell_length_b 2.9345
_cell_length_c 4.6220
_cell_angle_alpha 90.00
_cell_angle_beta 99.61
_cell_angle_gamma 90.00
loop_
_atom_site_label
_atom_site_type_symbol
_atom_site_fract_x
_atom_site_fract_y
_atom_site_fract_z
Zn1 Zn 0.0000 0.0000 0.0000
Zn2 Zn 0.2467 0.0000 0.7862
Si1 Si 0.2617 0.5000 0.3157
Ir1 Ir 0.4938 0.0000 0.4891
```

Computed properties:
ΔE_f (raw) in eV/atom: -0.1577